Entry 1:
Computed, not measured: NaSc2Au after structural relaxation at the GGA-PBEsol level of DFT.

a b c (Å): 3.3933 3.3933 10.6124
angles (deg): 80.80 80.80 60.00
Positions (direct):
Sc 0.8953 0.8953 0.3142
Sc 0.1047 0.1047 0.6858
Na 0.0000 0.0000 0.0000
Au 0.5000 0.5000 0.5000

Output
The uncorrected energy is -4.6563 eV/atom. As for the formation enthalpy at 0 K: -0.02 eV per atom.

Entry 2:
Computed, not measured: HoSi2Pd2 after structural relaxation at the GGA-PBEsol level of DFT.

a b c (Å): 4.0790 4.0790 5.7281
angles (deg): 110.86 110.86 90.00
Positions (direct):
Si 0.3838 0.3838 0.7676
Si 0.6162 0.6162 0.2324
Ho 0.0000 0.0000 0.0000
Pd 0.7500 0.2500 0.5000
Pd 0.2500 0.7500 0.5000

Output
The value obtained for the raw formation energy is -1.0036 eV/atom. The uncorrected energy is -6.6758 eV/atom.

Entry 3:
Computed, not measured: V3SnO8 after structural relaxation at the GGA-PBEsol level of DFT.

a b c (Å): 3.7801 6.3948 6.4775
angles (deg): 105.90 90.00 107.19
Each line ends with the local moment (μB).
Positions (direct):
V 0.5981 0.1962 0.7104  1.16
V 0.4040 0.8081 0.2930  0.69
V 0.6981 0.3962 0.2803  1.21
Sn 0.2994 0.5989 0.7045  0.03
O 0.8642 0.7284 0.3090  -0.03
O 0.7531 0.5063 0.6415  -0.01
O 0.6413 0.2826 0.0035  -0.12
O 0.5571 0.1141 0.3624  -0.07
O 0.4451 0.8903 0.6270  -0.02
O 0.3721 0.7441 0.0190  -0.01
O 0.2389 0.4778 0.3445  -0.02
O 0.1285 0.2570 0.7049  -0.02

Output
The value obtained for the raw formation energy is -2.1275 eV/atom. The uncorrected energy is -8.3906 eV/atom.

Entry 4:
Computed, not measured: PtAu3 after structural relaxation at the GGA-PBEsol level of DFT.

a b c (Å): 2.8562 4.0000 5.7422
angles (deg): 90.00 90.00 90.00
Positions (direct):
Au 0.0000 0.0000 0.7543
Au 0.0000 0.0000 0.2457
Au 0.5000 0.5000 0.5000
Pt 0.5000 0.5000 0.0000

Output
The uncorrected energy is -4.6518 eV/atom. As for the formation enthalpy at 0 K: 0.03 eV per atom.

Entry 5:
Computed, not measured: ZnBi6P2O14F2 after structural relaxation at the GGA-PBEsol level of DFT.

a b c (Å): 5.5642 8.7376 15.9631
angles (deg): 78.81 79.96 71.43
Positions (direct):
Zn 0.0000 0.5000 0.5000
Zn 0.0000 0.0000 0.0000
Bi 0.7877 0.7383 0.6650
Bi 0.1910 0.7617 0.8350
Bi 0.2123 0.2617 0.3350
Bi 0.8090 0.2383 0.1650
Bi 0.5809 0.0535 0.8288
Bi 0.4631 0.4465 0.6712
Bi 0.4191 0.9465 0.1712
Bi 0.5369 0.5535 0.3288
Bi 0.9055 0.3954 0.8279
Bi 0.1288 0.1046 0.6721
Bi 0.0945 0.6046 0.1721
Bi 0.8712 0.8954 0.3279
P 0.3637 0.7924 0.5057
P 0.6617 0.7076 0.9943
P 0.6363 0.2076 0.4943
P 0.3383 0.2924 0.0057
O 0.7394 0.2500 0.7500
O 0.2606 0.7500 0.2500
O 0.2421 0.2500 0.7500
O 0.7579 0.7500 0.2500
O 0.0833 0.5813 0.7548
O 0.4195 0.9187 0.7452
O 0.9167 0.4187 0.2452
O 0.5805 0.0813 0.2548
O 0.5809 0.5831 0.7586
O 0.9226 0.9169 0.7414
O 0.4191 0.4169 0.2414
O 0.0774 0.0831 0.2586
O 0.8372 0.5055 0.6099
O 0.9525 0.9945 0.8901
O 0.1628 0.4945 0.3901
O 0.0475 0.0055 0.1099
O 0.6004 0.7255 0.4438
O 0.7698 0.7745 0.0562
O 0.3996 0.2745 0.5562
O 0.2302 0.2255 0.9438
O 0.4051 0.8701 0.5773
O 0.8525 0.6299 0.9227
O 0.5949 0.1299 0.4227
O 0.1475 0.3701 0.0773
O 0.1985 0.6779 0.5380
O 0.4143 0.8221 0.9620
O 0.8015 0.3221 0.4620
O 0.5857 0.1779 0.0380
F 0.1932 0.9410 0.4433
F 0.5775 0.5590 0.0567
F 0.8068 0.0590 0.5567
F 0.4225 0.4410 0.9433

Output
The value obtained for the raw formation energy is -1.6832 eV/atom. The uncorrected energy is -6.3321 eV/atom.

Entry 6:
Computed, not measured: CaSn3P4O14 after structural relaxation at the GGA-PBEsol level of DFT.

a b c (Å): 7.3651 8.4692 10.3064
angles (deg): 105.07 90.00 90.00
Positions (direct):
Ca 0.0000 0.5000 0.0000
Ca 0.5000 0.5000 0.5000
Sn 0.8613 0.2016 0.5326
Sn 0.3613 0.7984 0.9674
Sn 0.1387 0.7984 0.4674
Sn 0.6387 0.2016 0.0326
Sn 0.0000 0.0000 0.0000
Sn 0.5000 0.0000 0.5000
P 0.0645 0.5644 0.6849
P 0.5645 0.4356 0.8151
P 0.9355 0.4356 0.3151
P 0.4355 0.5644 0.1849
P 0.7894 0.8155 0.6748
P 0.2894 0.1845 0.8252
P 0.2106 0.1845 0.3252
P 0.7106 0.8155 0.1748
O 0.6054 0.7800 0.6037
O 0.1054 0.2200 0.8963
O 0.3946 0.2200 0.3963
O 0.8946 0.7800 0.1037
O 0.5943 0.3801 0.6642
O 0.0943 0.6199 0.8358
O 0.4057 0.6199 0.3358
O 0.9057 0.3801 0.1642
O 0.2082 0.6321 0.6034
O 0.7082 0.3679 0.8966
O 0.7918 0.3679 0.3966
O 0.2918 0.6321 0.1034
O 0.8699 0.6315 0.6536
O 0.3699 0.3685 0.8464
O 0.1301 0.3685 0.3464
O 0.6301 0.6315 0.1536
O 0.4511 0.3788 0.1352
O 0.9511 0.6212 0.3648
O 0.5489 0.6212 0.8648
O 0.0489 0.3788 0.6352
O 0.2156 0.0973 0.1775
O 0.7156 0.9027 0.3225
O 0.7844 0.9027 0.8225
O 0.2844 0.0973 0.6775
O 0.5774 0.9018 0.0990
O 0.0774 0.0982 0.4010
O 0.4226 0.0982 0.9010
O 0.9226 0.9018 0.5990

Output
The value obtained for the raw formation energy is -2.0882 eV/atom. The uncorrected energy is -7.1594 eV/atom.

Entry 7:
Computed, not measured: Ti2AlZn after structural relaxation at the GGA-PBEsol level of DFT.

a b c (Å): 5.1121 5.6616 5.6616
angles (deg): 78.24 63.16 63.16
Positions (direct):
Zn 0.7500 0.5000 0.5000
Zn 0.0000 0.0000 0.0000
Al 0.2500 0.5000 0.5000
Al 0.5000 0.0000 0.0000
Ti 0.1160 0.0090 0.5090
Ti 0.6340 0.9910 0.4910
Ti 0.3750 0.5090 0.9910
Ti 0.8750 0.4910 0.0090

Output
The uncorrected energy is -5.4383 eV/atom. As for the formation enthalpy at 0 K: 0.14 eV per atom.

Entry 8:
Computed, not measured: KAs after structural relaxation at the GGA-PBEsol level of DFT.

a b c (Å): 4.1576 5.1206 6.3261
angles (deg): 113.87 90.00 90.00
Positions (direct):
As 0.2500 0.5612 0.1225
As 0.7500 0.4388 0.8775
K 0.2500 0.8615 0.7231
K 0.7500 0.1385 0.2769

Output
The energy above the most stable polymorph in this dataset is 34.5 meV per atom. The uncorrected energy is -3.5237 eV/atom. As for the formation enthalpy at 0 K: -0.40 eV per atom.

Entry 9:
Computed, not measured: KHf3Mg after structural relaxation at the GGA-PBEsol level of DFT.

a b c (Å): 5.1987 5.1987 5.1987
angles (deg): 90.00 90.00 90.00
Positions (direct):
K 0.5000 0.5000 0.5000
Hf 0.0000 0.5000 0.0000
Hf 0.0000 0.0000 0.5000
Hf 0.5000 0.0000 0.0000
Mg 0.0000 0.0000 0.0000

Output
The uncorrected energy is -5.2903 eV/atom. As for the formation enthalpy at 0 K: 1.58 eV per atom.

Entry 10:
Computed, not measured: ZrZnCr2 after structural relaxation at the GGA-PBEsol level of DFT.

a b c (Å): 2.4857 5.0443 5.0443
angles (deg): 115.18 90.00 90.00
Positions (direct):
Cr 0.0000 0.5000 0.0000
Cr 0.0000 0.0000 0.5000
Zn 0.5000 0.0000 0.0000
Zr 0.5000 0.5000 0.5000

Output
The uncorrected energy is -7.2827 eV/atom. As for the formation enthalpy at 0 K: 0.51 eV per atom.

Entry 11:
Computed, not measured: CaPt3W after structural relaxation at the GGA-PBEsol level of DFT.

a b c (Å): 4.8395 4.8395 4.8395
angles (deg): 90.00 90.00 90.00
Positions (direct):
Ca 0.5000 0.5000 0.5000
W 0.0000 0.0000 0.0000
Pt 0.0000 0.5000 0.0000
Pt 0.0000 0.0000 0.5000
Pt 0.5000 0.0000 0.0000

Output
The uncorrected energy is -7.0046 eV/atom. As for the formation enthalpy at 0 K: 0.36 eV per atom.

Entry 12:
Computed, not measured: FeNi2Ge after structural relaxation at the GGA-PBEsol level of DFT.

a b c (Å): 3.5271 3.5271 3.5798
angles (deg): 90.00 90.00 90.00
Each line ends with the local moment (μB).
Positions (direct):
Fe 0.5000 0.5000 0.0000  2.06
Ni 0.5000 0.0000 0.5000  0.20
Ni 0.0000 0.5000 0.5000  0.20
Ge 0.0000 0.0000 0.0000  -0.07

Output
The uncorrected energy is -6.7605 eV/atom. As for the formation enthalpy at 0 K: -0.21 eV per atom.

Entry 13:
Computed, not measured: InIrSe2N after structural relaxation at the GGA-PBEsol level of DFT.

a b c (Å): 3.8801 5.1521 5.1521
angles (deg): 90.00 90.00 90.00
Each line ends with the local moment (μB).
Positions (direct):
N 0.5000 0.0000 0.0000  0.96
Ir 0.5000 0.5000 0.5000  0.41
Se 0.0000 0.0000 0.5000  0.12
Se 0.0000 0.5000 0.0000  0.12
In 0.0000 0.0000 0.0000  0.02

Output
The value obtained for the raw formation energy is 1.6520 eV/atom. The uncorrected energy is -4.1547 eV/atom.

Entry 14:
Computed, not measured: Y2SbCl after structural relaxation at the GGA-PBEsol level of DFT.

a b c (Å): 4.0873 4.0873 6.0631
angles (deg): 90.00 90.00 90.00
Positions (direct):
Y 0.0000 0.0000 0.9414
Y 0.5000 0.5000 0.3344
Sb 0.5000 0.5000 0.8322
Cl 0.0000 0.0000 0.3921

Output
The value obtained for the raw formation energy is -1.2112 eV/atom. The energy above the most stable polymorph in this dataset is 0.0 meV per atom. The uncorrected energy is -6.2636 eV/atom.

Entry 15:
Computed, not measured: Sc2FeCl after structural relaxation at the GGA-PBEsol level of DFT.

a b c (Å): 3.0621 3.0621 8.8136
angles (deg): 90.00 90.00 90.00
Each line ends with the local moment (μB).
Positions (direct):
Sc 0.0000 0.0000 0.9818  -0.30
Sc 0.5000 0.5000 0.2789  -0.18
Fe 0.5000 0.5000 0.7931  2.73
Cl 0.0000 0.0000 0.4462  0.00

Output
The value obtained for the raw formation energy is -0.1772 eV/atom. The energy above the most stable polymorph in this dataset is 293.3 meV per atom. The uncorrected energy is -6.2226 eV/atom.

Entry 16:
Computed, not measured: SnW3C after structural relaxation at the GGA-PBEsol level of DFT.

a b c (Å): 4.8395 4.8395 4.8395
angles (deg): 90.00 90.00 90.00
Positions (direct):
C 0.5000 0.5000 0.5000
Sn 0.0000 0.0000 0.0000
W 0.0000 0.5000 0.0000
W 0.0000 0.0000 0.5000
W 0.5000 0.0000 0.0000

Output
The uncorrected energy is -6.7406 eV/atom. As for the formation enthalpy at 0 K: 4.32 eV per atom.

Entry 17:
Computed, not measured: YZn2 after structural relaxation at the GGA-PBEsol level of DFT.

a b c (Å): 4.4184 4.8320 5.8072
angles (deg): 114.58 90.00 90.00
Positions (direct):
Y 0.7500 0.7659 0.0000
Y 0.2500 0.2341 0.0000
Zn 0.7500 0.1396 0.6100
Zn 0.2500 0.8604 0.3900
Zn 0.7500 0.5296 0.3900
Zn 0.2500 0.4704 0.6100

Output
The uncorrected energy is -3.5651 eV/atom. As for the formation enthalpy at 0 K: -0.24 eV per atom.

Entry 18:
Computed, not measured: SiTeCl2 after structural relaxation at the GGA-PBEsol level of DFT.

a b c (Å): 3.1392 3.2407 10.6025
angles (deg): 90.00 90.00 118.97
Positions (direct):
Si 0.5000 0.0000 0.5000
Te 0.5000 0.0000 0.0000
Cl 0.0000 0.0000 0.6733
Cl 0.0000 0.0000 0.3267

Output
The value obtained for the raw formation energy is -0.0503 eV/atom. The uncorrected energy is -3.3724 eV/atom.

Entry 19:
Computed, not measured: Pr2SbO5F after structural relaxation at the GGA-PBEsol level of DFT.

a b c (Å): 6.6116 6.9943 10.1235
angles (deg): 93.81 90.00 90.00
Positions (direct):
Pr 0.7494 0.3732 0.4650
Pr 0.9327 0.1221 0.0348
Pr 0.4327 0.8779 0.9652
Pr 0.1213 0.1332 0.6627
Pr 0.0597 0.6322 0.1626
Pr 0.5597 0.3678 0.8374
Pr 0.6213 0.8668 0.3373
Pr 0.2494 0.6268 0.5350
Sb 0.6925 0.8867 0.6767
Sb 0.1925 0.1133 0.3233
Sb 0.4856 0.3924 0.1771
Sb 0.9856 0.6076 0.8229
O 0.1864 0.3010 0.1752
O 0.7743 0.0480 0.5346
O 0.9156 0.0488 0.2708
O 0.4917 0.2024 0.3238
O 0.4061 0.5525 0.0334
O 0.6052 0.6883 0.5383
O 0.4156 0.9512 0.7292
O 0.2743 0.9520 0.4654
O 0.3774 0.5881 0.3105
O 0.7901 0.0820 0.8136
O 0.7547 0.4742 0.2352
O 0.0771 0.8069 0.9585
O 0.9061 0.4475 0.9666
O 0.6864 0.6990 0.8248
O 0.8774 0.4119 0.6895
O 0.2901 0.9180 0.1864
O 0.9917 0.7976 0.6762
O 0.1052 0.3117 0.4617
O 0.5771 0.1931 0.0415
O 0.2547 0.5258 0.7648
F 0.4599 0.3217 0.6049
F 0.9599 0.6783 0.3951
F 0.7247 0.8301 0.1047
F 0.2247 0.1699 0.8953

Output
The value obtained for the raw formation energy is -2.8526 eV/atom. The uncorrected energy is -7.6415 eV/atom.

Entry 20:
Computed, not measured: NaLi3Bi after structural relaxation at the GGA-PBEsol level of DFT.

a b c (Å): 5.3170 5.3170 5.3170
angles (deg): 90.00 90.00 90.00
Positions (direct):
Na 0.5000 0.5000 0.5000
Bi 0.0000 0.0000 0.0000
Li 0.0000 0.5000 0.0000
Li 0.0000 0.0000 0.5000
Li 0.5000 0.0000 0.0000

Output
The uncorrected energy is -2.5122 eV/atom. As for the formation enthalpy at 0 K: -0.20 eV per atom.